VASP calculation (PBE) on an optimized crystal structure of TiHg2Cl2.

Cell: 6.565 6.565 7.012 Å, 90.00 90.00 90.00°
Space group P4/mbm (No. 127)
Inequivalent atoms, fractional coordinates:
Ti1 0.000 0.000 0.000 x2
Hg1 0.178 0.322 0.500 x4
Cl1 0.186 0.686 0.000 x4

Summary:
The calculation puts the uncorrected formation energy at -3.0 eV/f.u. The calculated total energy is -3.030 eV/atom.

---

VASP calculation (PBE) on an optimized crystal structure of TiHgCl6.

Cell: 6.467 12.053 6.415 Å, 90.00 110.84 90.00°
Space group C2/m (No. 12)
Inequivalent atoms, fractional coordinates:
Ti1 0.000 0.000 0.000 x2
Hg1 0.000 0.500 0.500 x2
Cl1 0.219 0.000 0.787 x4
Cl2 0.228 0.144 0.233 x8

Summary:
The calculation puts the uncorrected formation energy at -8.8 eV/f.u. The calculated total energy is -3.509 eV/atom.

---

VASP calculation (PBE) on an optimized crystal structure of Ti2Hg2Cl.

Cell: 8.310 8.310 3.176 Å, 90.00 90.00 90.00°
Space group P4/mbm (No. 127)
Inequivalent atoms, fractional coordinates:
Ti1 0.107 0.393 0.000 x4
Hg1 0.184 0.684 0.500 x4
Cl1 0.000 0.000 0.500 x2

Summary:
The calculation puts the uncorrected formation energy at 0.8 eV/f.u. The calculated total energy is -3.497 eV/atom.

---

VASP calculation (PBE) on an optimized crystal structure of Ti2Hg2Cl.

Cell: 3.627 3.627 17.169 Å, 90.00 90.00 90.00°
Space group I4/mmm (No. 139)
Inequivalent atoms, fractional coordinates:
Ti1 0.000 0.500 0.250 x4
Hg1 0.000 0.000 0.113 x4
Cl1 0.000 0.000 0.500 x2

Summary:
The calculation puts the uncorrected formation energy at 0.7 eV/f.u. The calculated total energy is -3.516 eV/atom.

---

VASP calculation (PBE) on an optimized crystal structure of Ti2HgCl4.

Cell: 21.022 3.246 5.903 Å, 90.00 101.34 90.00°
Space group C2/m (No. 12)
Inequivalent atoms, fractional coordinates:
Ti1 0.249 0.000 0.194 x4
Hg1 0.000 0.500 0.500 x2
Cl1 0.164 0.500 0.026 x4
Cl2 0.184 0.000 0.538 x4

Summary:
The calculation puts the uncorrected formation energy at -8.9 eV/f.u. The calculated total energy is -4.630 eV/atom.

---

VASP calculation (PBE) on an optimized crystal structure of TiHgCl4.

Cell: 13.296 11.370 7.478 Å, 90.00 90.00 90.00°
Space group Ama2 (No. 40)
Inequivalent atoms, fractional coordinates:
Ti1 0.250 0.098 0.000 x4
Hg1 0.000 0.000 0.553 x4
Cl1 0.116 0.197 0.926 x8
Cl2 0.250 0.065 0.288 x4
Cl3 0.250 0.430 0.356 x4

Summary:
The calculation puts the uncorrected formation energy at -7.8 eV/f.u. The calculated total energy is -3.896 eV/atom.

---

VASP calculation (PBE) on an optimized crystal structure of TiTl2HgCl6.

Cell: 7.688 7.708 8.229 Å, 90.06 117.84 119.91°
Space group P1 (No. 1)
Inequivalent atoms, fractional coordinates:
Ti1 0.000 0.000 0.000 x1
Tl1 0.619 0.809 0.428 x1
Tl2 0.674 0.338 0.011 x1
Hg1 0.012 0.506 0.518 x1
Cl1 0.125 0.955 0.796 x1
Cl2 0.145 0.822 0.193 x1
Cl3 0.371 0.323 0.192 x1
Cl4 0.627 0.673 0.796 x1
Cl5 0.841 0.169 0.795 x1
Cl6 0.868 0.048 0.192 x1

Summary:
The calculation puts the uncorrected formation energy at -11.9 eV/f.u. The calculated total energy is -3.588 eV/atom.

---

VASP calculation (PBE) on an optimized crystal structure of Zr2TiHgCl.

Cell: 5.380 5.380 5.105 Å, 90.00 90.00 90.00°
Space group P4/mmm (No. 123)
Inequivalent atoms, fractional coordinates:
Zr1 0.000 0.500 0.000 x2
Ti1 0.000 0.000 0.500 x1
Hg1 0.000 0.000 0.000 x1
Cl1 0.500 0.500 0.500 x1

Summary:
The calculation puts the uncorrected formation energy at 5.0 eV/f.u. The calculated total energy is -4.426 eV/atom.

---

VASP calculation (PBE) on an optimized crystal structure of TlHg2Cl2.

Cell: 8.834 8.834 5.031 Å, 90.00 90.00 90.00°
Space group P4/mbm (No. 127)
Inequivalent atoms, fractional coordinates:
Tl1 0.000 0.000 0.000 x2
Hg1 0.112 0.388 0.500 x4
Cl1 0.230 0.270 0.000 x4

Summary:
The calculation puts the uncorrected formation energy at -2.0 eV/f.u. The calculated total energy is -1.733 eV/atom.

---

VASP calculation (PBE) on an optimized crystal structure of TlHg2Cl6.

Cell: 6.8791 6.8791 20.8147 Å, 90.00 90.00 120.00°
Space group R-3 (No. 148, hexagonal axes)
Inequivalent atoms, fractional coordinates:
Tl1 0.0000 0.0000 0.0000 x3
Hg1 0.0000 0.0000 0.1804 x6
Cl1 0.0084 0.3147 0.9075 x18

Summary:
The calculation puts the uncorrected formation energy at -5.0 eV/f.u. The calculated total energy is -2.121 eV/atom.

---

VASP calculation (PBE) on an optimized crystal structure of TlHg2Cl.

Cell: 5.0506 5.0506 17.5703 Å, 90.00 90.00 120.00°
Space group R-3m (No. 166, hexagonal axes)
Inequivalent atoms, fractional coordinates:
Tl1 0.0000 0.0000 0.0000 x3
Hg1 0.0000 0.0000 0.2492 x6
Cl1 0.0000 0.0000 0.5000 x3

Summary:
The calculation puts the uncorrected formation energy at -1.2 eV/f.u. The calculated total energy is -1.513 eV/atom.

---

VASP calculation (PBE) on an optimized crystal structure of TlHg2Cl.

Cell: 12.777 4.512 4.495 Å, 90.00 106.54 90.00°
Space group C2/m (No. 12)
Inequivalent atoms, fractional coordinates:
Tl1 0.000 0.000 0.000 x2
Hg1 0.250 0.000 0.748 x4
Cl1 0.000 0.500 0.500 x2

Summary:
The calculation puts the uncorrected formation energy at -1.7 eV/f.u. The calculated total energy is -1.635 eV/atom.